Below is Pr2Sm3PuSe6 after structural relaxation, with properties calculated at the GGA-PBE level.

SG: C2/m (12)
density: 7.7 g cm⁻³
energy relative to the elements, uncorrected: -1792 meV per atom

a = 4.1772 Å, b = 8.4435 Å, c = 9.3919 Å
α = 103.12°, β = 102.85°, γ = 90.00°
With the nearest neighbours (Å) after each atom.
Atoms (fractional coordinates):
Pr: 0.8344 0.6684 0.6688  6 Se 2.99-3.01
Pr: 0.1656 0.3316 0.3312  6 Se 2.99-3.01
Sm: 0.5000 0.5000 0.0000  6 Se 2.94-2.98
Sm: 0.8320 0.1644 0.6640  6 Se 2.93-2.97
Sm: 0.1680 0.8356 0.3360  6 Se 2.93-2.97
Pu: 0.5000 0.0000 0.0000  6 Se 2.95-2.96
Se: 0.3345 0.9222 0.6691  3 Sm 2.93-2.97, 1 Pu 2.95, 2 Pr 2.99
Se: 0.6652 0.5881 0.3304  3 Sm 2.94-2.95, 3 Pr 3.01
Se: 0.6655 0.0778 0.3309  3 Sm 2.93-2.97, 1 Pu 2.95, 2 Pr 2.99
Se: 0.9974 0.2469 0.9948  3 Sm 2.95-2.98, 2 Pu 2.96, 1 Pr 3.00
Se: 0.0026 0.7531 0.0052  3 Sm 2.95-2.98, 2 Pu 2.96, 1 Pr 3.00
Se: 0.3348 0.4119 0.6696  3 Sm 2.94-2.95, 3 Pr 3.01